Entry 1:
Here is a relaxed structure of CaGePbSe4 from Alexandria via LeMat-Bulk. Energies are from GGA-PBE.

a = 7.050 Å, b = 7.002 Å, c = 8.240 Å
α = 90.00°, β = 107.01°, γ = 90.00°
Fractional positions:
Ca 0.249 0.250 0.435
Ca 0.751 0.750 0.565
Ge 0.262 0.750 0.689
Ge 0.738 0.250 0.311
Pb 0.277 0.250 0.940
Pb 0.723 0.750 0.060
Se 0.077 0.750 0.400
Se 0.080 0.750 0.887
Se 0.497 0.007 0.745
Se 0.497 0.493 0.745
Se 0.503 0.507 0.255
Se 0.503 0.993 0.255
Se 0.920 0.250 0.113
Se 0.923 0.250 0.600

Values from the calculation:
total moment = 0.000 μB/f.u.
SG = P2_1/m, No. 11
uncorrected energy = -4.250 eV per atom


Entry 2:
Here is a relaxed structure of SrCaGePb from Alexandria via LeMat-Bulk. Energies are from GGA-PBE.

a = 7.806 Å, b = 7.806 Å, c = 7.806 Å
α = 90.00°, β = 90.00°, γ = 90.00°
Fractional positions:
Sr 0.000 0.000 0.000
Sr 0.000 0.500 0.500
Sr 0.500 0.000 0.500
Sr 0.500 0.500 0.000
Ca 0.000 0.000 0.500
Ca 0.000 0.500 0.000
Ca 0.500 0.000 0.000
Ca 0.500 0.500 0.500
Ge 0.250 0.250 0.250
Ge 0.250 0.750 0.750
Ge 0.750 0.250 0.750
Ge 0.750 0.750 0.250
Pb 0.250 0.250 0.750
Pb 0.250 0.750 0.250
Pb 0.750 0.250 0.250
Pb 0.750 0.750 0.750

Values from the calculation:
total moment = 0.000 μB/f.u.
SG = F-43m, No. 216
uncorrected energy = -3.442 eV per atom
N(E_F) = 2.842 states/eV/f.u.
DFT formation energy = -0.439 eV per atom